No. 1
La2Tc after structural relaxation, computed with PBE-GGA.

Unit cell a=5.012 b=5.012 c=3.474 alpha=90.00 beta=90.00 gamma=90.00
Space group P4/mmm (No. 123)
Symmetry-distinct sites (fractional):
La 0.000 0.500 0.000 x2
Tc 0.000 0.000 0.500 x1

energy above the most stable polymorph in this dataset = 184 meV per atom
total magnetic moment = 0.00 μB per cell

No. 2
SnBi2Br8 after structural relaxation, computed with PBE-GGA.

Unit cell a=14.341 b=7.769 c=8.971 alpha=90.00 beta=93.39 gamma=90.00
Space group C2/m (No. 12)
Symmetry-distinct sites (fractional):
Sn 0.000 0.000 0.000 x2
Bi 0.141 0.000 0.374 x4
Br 0.077 0.000 0.700 x4
Br 0.138 0.249 0.157 x8
Br 0.174 0.500 0.563 x4

energy above the most stable polymorph in this dataset = 19 meV per atom
total magnetic moment = 0.00 μB per cell

No. 3
La2MgCd after structural relaxation, computed with PBE-GGA.

Unit cell a=12.506 b=3.837 c=5.586 alpha=90.00 beta=116.47 gamma=90.00
Space group Cm (No. 8)
Symmetry-distinct sites (fractional):
La 0.000 0.000 0.000 x2
La 0.230 0.000 0.729 x2
Mg 0.272 0.500 0.271 x2
Cd 0.470 0.000 0.470 x2

E = -3.29 eV per atom
total magnetic moment = 0.00 μB per cell

No. 4
TaAl4Cr after structural relaxation, computed with PBE-GGA.

Unit cell a=7.216 b=7.216 c=7.216 alpha=90.00 beta=90.00 gamma=90.00
Space group F-43m (No. 216)
Symmetry-distinct sites (fractional):
Ta 0.000 0.000 0.000 x4
Al 0.125 0.125 0.625 x16
Cr 0.250 0.250 0.250 x4

E = -6.04 eV per atom
total magnetic moment = 11.53 μB per cell

No. 5
Ta2PSe2 after structural relaxation, computed with PBE-GGA.

Unit cell a=4.166 b=4.166 c=11.665 alpha=90.00 beta=90.00 gamma=90.00
Space group I4/mmm (No. 139)
Symmetry-distinct sites (fractional):
Ta 0.000 0.000 0.118 x4
P 0.000 0.000 0.500 x2
Se 0.000 0.500 0.250 x4

energy above the most stable polymorph in this dataset = 391 meV per atom
total magnetic moment = 0.00 μB per cell

No. 6
Al4FeNi15 after structural relaxation, computed with PBE-GGA.

Unit cell a=3.558 b=3.558 c=17.826 alpha=90.00 beta=90.00 gamma=90.00
Space group P4/mmm (No. 123)
Symmetry-distinct sites (fractional):
Al 0.000 0.000 0.100 x2
Al 0.000 0.000 0.300 x2
Fe 0.000 0.000 0.500 x1
Ni 0.000 0.500 0.000 x2
Ni 0.000 0.500 0.201 x4
Ni 0.000 0.500 0.402 x4
Ni 0.500 0.500 0.101 x2
Ni 0.500 0.500 0.301 x2
Ni 0.500 0.500 0.500 x1

E = -5.87 eV per atom
total magnetic moment = 7.76 μB per cell